No. 1
First-principles (PBE-GGA) data for a relaxed CdGeSe2N crystal, as listed in Alexandria.

a = 5.325 Å, b = 5.325 Å, c = 4.187 Å
α = 90.00°, β = 90.00°, γ = 90.00°
Atoms (fractional coordinates):
N1 0.000 0.000 0.500
Cd1 0.000 0.000 0.000
Se1 0.500 0.000 0.000
Se2 0.000 0.500 0.000
Ge1 0.500 0.500 0.500

Computed properties:
Density of states at the Fermi level in states/eV/cell: 1.8
Mass density in g/cm³: 5.0
SG: P4/mmm (123)
VASP energy in eV per atom: -3.153
Energy above the most stable polymorph in this dataset in meV per atom: 511



No. 2
First-principles (PBE-GGA) data for a relaxed ReSb2Rh crystal, as listed in Alexandria.

a = 4.681 Å, b = 4.681 Å, c = 4.681 Å
α = 60.00°, β = 60.00°, γ = 60.00°
Atoms (fractional coordinates):
Sb1 0.750 0.750 0.750
Sb2 0.250 0.250 0.250
Re1 0.500 0.500 0.500
Rh1 0.000 0.000 0.000

Computed properties:
Density of states at the Fermi level in states/eV/cell: 5.3
Mass density in g/cm³: 12.2
SG: Fm-3m (225)
VASP energy in eV per atom: -6.704
Energy above the most stable polymorph in this dataset in meV per atom: 157



No. 3
First-principles (PBE-GGA) data for a relaxed DyB2 crystal, as listed in Alexandria.

a = 3.576 Å, b = 3.576 Å, c = 6.299 Å
α = 106.49°, β = 106.49°, γ = 90.00°
Atoms (fractional coordinates):
B1 0.172 0.672 0.344
B2 0.422 0.422 0.844
B3 0.328 0.828 0.656
B4 0.578 0.578 0.156
Dy1 0.750 0.250 0.500
Dy2 0.000 0.000 0.000

Computed properties:
Density of states at the Fermi level in states/eV/cell: 1.7
Mass density in g/cm³: 8.3
SG: I4_1/amd (141)
VASP energy in eV per atom: -6.395
Calculated formation energy in eV per atom: -0.41
Energy above the most stable polymorph in this dataset in meV per atom: 157